Record 1
The following is a DFT calculation (PBE) of crystalline CrSbMo2 at its relaxed geometry.

Properties
Formation energy (no corrections) (eV/atom): 0.30
Theoretical density (g cm⁻³): 9.34

Geometry as CIF:
```
data_CrSbMo2
_chemical_formula_sum 'Cr1 Sb1 Mo2'
_space_group_name_H-M_alt 'P 1'
_space_group_IT_number 1
_cell_length_a 3.397
_cell_length_b 4.377
_cell_length_c 4.371
_cell_angle_alpha 90.00
_cell_angle_beta 90.00
_cell_angle_gamma 90.00
loop_
_space_group_symop_operation_xyz
'x,y,z'
loop_
_atom_site_label
_atom_site_type_symbol
_atom_site_fract_x
_atom_site_fract_y
_atom_site_fract_z
Mo1 Mo 0.500 0.500 0.000
Mo2 Mo 0.000 0.000 0.000
Sb1 Sb 0.500 0.000 0.500
Cr1 Cr 0.000 0.500 0.500
```

---

Record 2
The following is a DFT calculation (PBE) of crystalline CaZrTa at its relaxed geometry.

Properties
Energy above the lowest structure with this stoichiometry (meV per atom): 52
Theoretical density (g cm⁻³): 6.92

Geometry as CIF:
```
data_CaZrTa
_chemical_formula_sum 'Ca1 Zr1 Ta1'
_space_group_name_H-M_alt 'P 1'
_space_group_IT_number 1
_cell_length_a 6.146
_cell_length_b 6.146
_cell_length_c 6.146
_cell_angle_alpha 150.26
_cell_angle_beta 139.12
_cell_angle_gamma 51.36
loop_
_space_group_symop_operation_xyz
'x,y,z'
loop_
_atom_site_label
_atom_site_type_symbol
_atom_site_fract_x
_atom_site_fract_y
_atom_site_fract_z
Zr1 Zr 0.697 0.697 0.000
Ta1 Ta 0.307 0.307 0.000
Ca1 Ca 0.996 0.996 0.000
```